A plane-wave DFT calculation with GGA+U was carried out for LiCoSbO4 after structural relaxation.

Computed properties:
- space-group type = No. 95
- calculated total energy (Ha/atom) = -0.218

Structure (CIF):
```
data_LiCoSbO4
_cell_length_a 6.131
_cell_length_b 6.131
_cell_length_c 8.588
_cell_angle_alpha 90.00
_cell_angle_beta 90.00
_cell_angle_gamma 90.00
_symmetry_space_group_name_H-M 'P 1'
_symmetry_Int_Tables_number 1
loop_
_symmetry_equiv_pos_as_xyz
'x,y,z'
loop_
_atom_site_label
_atom_site_fract_x
_atom_site_fract_y
_atom_site_fract_z
O1 0.732 0.523 0.514
O2 0.262 0.017 0.998
O3 0.477 0.268 0.236
O4 0.477 0.732 0.264
O5 0.983 0.738 0.752
O6 0.738 0.983 0.498
O7 0.732 0.477 0.986
O8 0.262 0.983 0.502
O9 0.017 0.738 0.248
O10 0.017 0.262 0.252
O11 0.983 0.262 0.748
O12 0.523 0.732 0.736
O13 0.268 0.477 0.014
O14 0.523 0.268 0.764
O15 0.738 0.017 0.002
O16 0.268 0.523 0.486
Co1 0.251 0.251 0.625
Co2 0.749 0.251 0.375
Co3 0.251 0.749 0.875
Co4 0.749 0.749 0.125
Sb1 0.500 0.773 0.500
Sb2 0.500 0.227 0.000
Sb3 0.227 0.500 0.250
Sb4 0.773 0.500 0.750
Li1 0.000 0.791 0.500
Li2 0.000 0.209 0.000
Li3 0.209 0.000 0.250
Li4 0.791 0.000 0.750
```